Entry 1:
Compound: BaLi2Zn2
Source: the Alexandria database
Functional: GGA-PBE
Structure: optimized geometry

Results
offset from the most stable computed form: 118 meV per atom
electronic total energy: -1.65 eV/atom
spin magnetization: 0.0 μB/f.u.

Cell lengths 8.2445, 8.2445, 3.6999 Å; angles 90.00, 90.00, 90.00 degrees
Space group P4/mbm (No. 127)
One atom of each set of equivalent atoms:
Ba (0.0000, 0.0000, 0.0000) (multiplicity 2)
Li (0.1550, 0.3450, 0.5000) (multiplicity 4)
Zn (0.1111, 0.6111, 0.0000) (multiplicity 4)

---

Entry 2:
Compound: Cs2NbPbS4
Source: the Alexandria database
Functional: GGA-PBE
Structure: optimized geometry

Results
uncorrected formation energy: -0.840 eV per atom
electronic total energy: -4.84 eV/atom
spin magnetization: 1.0 μB/f.u.

Cell lengths 7.0462, 14.5709, 24.8403 Å; angles 90.00, 90.00, 90.00 degrees
Space group Fddd (No. 70, origin choice 2)
One atom of each set of equivalent atoms:
Cs (0.1250, 0.1250, 0.3066) (multiplicity 16)
Nb (0.1250, 0.1250, 0.6250) (multiplicity 8)
Pb (0.1250, 0.1250, 0.1250) (multiplicity 8)
S (0.0824, 0.2817, 0.8238) (multiplicity 32)